A plane-wave DFT calculation with GGA+U was carried out for a relaxed structure of MnCuP2O.

total DFT energy (no corrections) = -5.05 eV/atom

Lattice parameters (Å, degrees): 4.768 4.768 3.512 90.00 90.00 90.00
Space group P4/mmm (No. 123)
Asymmetric unit:
Mn 0.000 0.000 0.000
Cu 0.500 0.500 0.500
P 0.000 0.500 0.500
O 0.500 0.500 0.000